Computed, not measured: a crystal of ErSnRh relaxed with PBEsol at the SCAN level of DFT.

N(E_F), states/eV/f.u.: 1.8
Formation enthalpy at 0 K, eV per atom: -1.031

Unit cell a=3.6892 b=7.4842 c=7.4842 alpha=120.00 beta=90.00 gamma=90.00
With the nearest neighbours (Å) after each atom.
Element x y z (fractional)
Sn  0.5000  0.2647  0.0000  4 Rh 2.71-2.79
Sn  0.5000  0.0000  0.2647  4 Rh 2.71-2.79
Sn  0.5000  0.7353  0.7353  4 Rh 2.71-2.79
Er  0.0000  0.4041  0.4041  5 Rh 2.93-3.02, 6 Sn 3.09-3.24
Er  0.0000  0.0000  0.5959  5 Rh 2.93-3.02, 6 Sn 3.09-3.24
Er  0.0000  0.5959  0.0000  5 Rh 2.93-3.02, 6 Sn 3.09-3.24
Rh  0.0000  0.0000  0.0000  6 Sn 2.71, 3 Er 3.02
Rh  0.5000  0.6667  0.3333  3 Sn 2.79, 6 Er 2.93
Rh  0.5000  0.3333  0.6667  3 Sn 2.79, 6 Er 2.93


Computed, not measured: a crystal of Er7Te2Rh2 relaxed with PBEsol at the SCAN level of DFT.

N(E_F), states/eV/f.u.: 7.0
ΔE_f (raw), eV/atom: -0.9929

Unit cell a=3.8274 b=9.2008 c=9.2008 alpha=60.50 beta=78.00 gamma=78.00
With the nearest neighbours (Å) after each atom.
Element x y z (fractional)
Te  0.0000  0.3387  0.6613  7 Er 3.05-3.12
Te  0.5000  0.7355  0.2645  8 Er 3.10-3.13
Rh  0.2376  0.8324  0.6925  7 Er 2.76-3.09
Rh  0.7624  0.3075  0.1676  7 Er 2.76-3.09
Er  0.0000  0.0023  0.9977  3 Te 3.12-3.13
Er  0.3524  0.3846  0.9107  2 Rh 2.83, 2 Te 3.12
Er  0.6476  0.0893  0.6154  2 Rh 2.83, 2 Te 3.12
Er  0.6825  0.6928  0.9421  3 Rh 2.76-3.09
Er  0.8683  0.7158  0.5476  2 Rh 2.78, 1 Te 3.05
Er  0.3175  0.0579  0.3072  3 Rh 2.76-3.09
Er  0.1317  0.4524  0.2842  2 Rh 2.78, 1 Te 3.05


Computed, not measured: a crystal of ErTlRh2 relaxed with PBEsol at the SCAN level of DFT.

N(E_F), states/eV/f.u.: 0.7
Formation enthalpy at 0 K, eV per atom: -0.647

Unit cell a=4.6276 b=4.6276 c=4.6276 alpha=60.00 beta=60.00 gamma=60.00
With the nearest neighbours (Å) after each atom.
Element x y z (fractional)
Er  0.5000  0.5000  0.5000  8 Rh 2.83
Rh  0.2500  0.2500  0.2500  4 Tl 2.83, 4 Er 2.83
Rh  0.7500  0.7500  0.7500  4 Tl 2.83, 4 Er 2.83
Tl  0.0000  0.0000  0.0000  8 Rh 2.83


Computed, not measured: a crystal of ErZnRh relaxed with PBEsol at the SCAN level of DFT.

N(E_F), states/eV/f.u.: 1.2
Formation enthalpy at 0 K, eV per atom: -0.844

Unit cell a=3.9170 b=6.7869 c=7.9743 alpha=90.00 beta=90.00 gamma=90.00
With the nearest neighbours (Å) after each atom.
Element x y z (fractional)
Rh  0.7500  0.2478  0.8751  4 Zn 2.59-2.64, 5 Er 2.83-2.85
Rh  0.2500  0.2522  0.3751  4 Zn 2.59-2.64, 5 Er 2.83-2.85
Rh  0.7500  0.7478  0.6249  4 Zn 2.59-2.64, 5 Er 2.83-2.85
Rh  0.2500  0.7522  0.1249  4 Zn 2.59-2.64, 5 Er 2.83-2.85
Er  0.2500  0.5416  0.8170  5 Rh 2.83-2.85, 5 Zn 3.06-3.10
Er  0.7500  0.9584  0.3170  5 Rh 2.83-2.85, 5 Zn 3.06-3.10
Er  0.7500  0.4584  0.1830  5 Rh 2.83-2.85, 5 Zn 3.06-3.10
Er  0.2500  0.0416  0.6830  5 Rh 2.83-2.85, 5 Zn 3.06-3.10
Zn  0.7500  0.8661  0.9369  4 Rh 2.59-2.64, 2 Zn 2.86
Zn  0.2500  0.6339  0.4369  4 Rh 2.59-2.64, 2 Zn 2.86
Zn  0.2500  0.1339  0.0631  4 Rh 2.59-2.64, 2 Zn 2.86
Zn  0.7500  0.3661  0.5631  4 Rh 2.59-2.64, 2 Zn 2.86


Computed, not measured: a crystal of ErRu2 relaxed with PBEsol at the SCAN level of DFT.

N(E_F), states/eV/f.u.: 3.2
Formation enthalpy at 0 K, eV per atom: -0.445

Unit cell a=5.1721 b=5.1721 c=8.7419 alpha=90.00 beta=90.00 gamma=120.00
With the nearest neighbours (Å) after each atom.
Element x y z (fractional)
Er  0.3333  0.6667  0.4334  12 Ru 3.04-3.13, 4 Er 3.21
Er  0.6667  0.3333  0.9334  12 Ru 3.04-3.13, 4 Er 3.21
Er  0.3333  0.6667  0.0666  12 Ru 3.04-3.13, 4 Er 3.21
Er  0.6667  0.3333  0.5666  12 Ru 3.04-3.13, 4 Er 3.21
Ru  0.0000  0.0000  0.0000  6 Ru 2.67
Ru  0.0000  0.0000  0.5000  6 Ru 2.67
Ru  0.6587  0.8294  0.7500  6 Ru 2.52-2.67
Ru  0.8294  0.1706  0.2500  6 Ru 2.52-2.67
Ru  0.8294  0.6587  0.2500  6 Ru 2.52-2.67
Ru  0.3413  0.1706  0.2500  6 Ru 2.52-2.67
Ru  0.1706  0.8294  0.7500  6 Ru 2.52-2.67
Ru  0.1706  0.3413  0.7500  6 Ru 2.52-2.67


Computed, not measured: a crystal of Er2Si5Ru3 relaxed with PBEsol at the SCAN level of DFT.

N(E_F), states/eV/f.u.: 1.9
ΔE_f (raw), eV/atom: -0.9083

Unit cell a=5.5146 b=8.1384 c=8.1384 alpha=71.34 beta=70.20 gamma=70.20
With the nearest neighbours (Å) after each atom.
Element x y z (fractional)
Ru  0.6468  0.9449  0.7615  5 Si 2.34-2.40
Ru  0.8532  0.2385  0.0551  5 Si 2.34-2.40
Ru  0.1468  0.7615  0.9449  5 Si 2.34-2.40
Ru  0.3532  0.0551  0.2385  5 Si 2.34-2.40
Ru  0.7500  0.5000  0.5000  6 Si 2.41-2.48
Ru  0.2500  0.5000  0.5000  6 Si 2.41-2.48
Si  0.4567  0.2933  0.2933  3 Ru 2.40-2.48, 2 Si 2.52
Si  0.5945  0.2346  0.5764  3 Ru 2.34-2.41, 2 Si 2.52
Si  0.5433  0.7067  0.7067  3 Ru 2.40-2.48, 2 Si 2.52
Si  0.4055  0.7654  0.4236  3 Ru 2.34-2.41, 2 Si 2.52
Si  0.9055  0.4236  0.7654  3 Ru 2.34-2.41, 2 Si 2.52
Si  0.0945  0.5764  0.2346  3 Ru 2.34-2.41, 2 Si 2.52
Si  0.0433  0.7067  0.7067  3 Ru 2.40-2.48, 2 Si 2.52
Si  0.7500  0.0000  0.0000  4 Ru 2.40
Si  0.2500  0.0000  0.0000  4 Ru 2.40
Si  0.9567  0.2933  0.2933  3 Ru 2.40-2.48, 2 Si 2.52
Er  0.8634  0.9046  0.3686  9 Si 2.93-3.21, 4 Ru 3.06-3.09
Er  0.1366  0.0954  0.6314  9 Si 2.93-3.21, 4 Ru 3.06-3.09
Er  0.3634  0.3686  0.9046  9 Si 2.93-3.21, 4 Ru 3.06-3.09
Er  0.6366  0.6314  0.0954  9 Si 2.93-3.21, 4 Ru 3.06-3.09